Version a
# SrLiOs2

Crystalline SrLiOs2 at its relaxed geometry (PBE-GGA, Alexandria via LeMat-Bulk).

Lattice parameters (Å, degrees): 3.2194 3.2194 7.0799 90.00 90.00 90.00
With the nearest neighbours (Å) after each atom.
Fractional coordinates of all 4 atoms:
Sr 0.0000 0.0000 0.0000  4 Sr 3.22, 8 Os 3.29, 2 Li 3.54
Li 0.0000 0.0000 0.5000  8 Os 2.55
Os 0.5000 0.5000 0.3363  1 Os 2.32, 4 Li 2.55
Os 0.5000 0.5000 0.6637  1 Os 2.32, 4 Li 2.55

Output
**Spin magnetization**: 0.000 μB per formula unit
**Symmetry**: P4/mmm (123)

Version b
# SrLiOs2

Crystalline SrLiOs2 at its relaxed geometry (PBE-GGA, Alexandria via LeMat-Bulk).

Lattice parameters (Å, degrees): 4.9752 4.9752 4.9752 129.50 116.80 85.01
With the nearest neighbours (Å) after each atom.
Fractional coordinates of all 4 atoms:
Sr 0.0000 0.0000 0.0000  4 Li 2.98-3.05, 4 Os 2.98-3.07
Li 0.2850 0.7850 0.5000  5 Os 2.85-3.15, 4 Sr 2.98-3.05
Os 0.5450 0.5450 0.0000  2 Os 2.40
Os 0.6980 0.1980 0.5000  2 Os 2.40

Output
**Spin magnetization**: 0.000 μB per formula unit
**Symmetry**: Imm2 (44)

version b ends up most stable, edging out the next structure by 28.7 kJ/mol of atoms.

Version a
# SrLiOs2

Crystalline SrLiOs2 at its relaxed geometry (PBE-GGA, Alexandria via LeMat-Bulk).

Lattice parameters (Å, degrees): 4.6862 4.6862 4.6862 60.00 60.00 60.00
With the nearest neighbours (Å) after each atom.
Fractional coordinates of all 4 atoms:
Sr 0.0000 0.0000 0.0000  8 Os 2.87
Li 0.5000 0.5000 0.5000  8 Os 2.87
Os 0.2500 0.2500 0.2500  4 Li 2.87, 4 Sr 2.87
Os 0.7500 0.7500 0.7500  4 Li 2.87, 4 Sr 2.87

Output
**Spin magnetization**: 2.269 μB per formula unit
**Symmetry**: Fm-3m (225)

Version b
# SrLiOs2

Crystalline SrLiOs2 at its relaxed geometry (PBE-GGA, Alexandria via LeMat-Bulk).

Lattice parameters (Å, degrees): 2.8815 3.8244 7.2005 90.00 91.63 90.00
With the nearest neighbours (Å) after each atom.
Fractional coordinates of all 4 atoms:
Sr 0.0000 0.0000 0.0000  2 Sr 2.88
Li 0.4709 0.5000 0.3355  1 Os 2.52
Os 0.4762 0.5000 0.6849  1 Li 2.52, 4 Os 2.58-2.59
Os 0.9708 0.0000 0.5503  6 Os 2.58-2.88, 4 Li 2.83-2.87

Output
**Spin magnetization**: 0.000 μB per formula unit
**Symmetry**: Pm (6)

Version c
# SrLiOs2

Crystalline SrLiOs2 at its relaxed geometry (PBE-GGA, Alexandria via LeMat-Bulk).

Lattice parameters (Å, degrees): 2.7195 2.7195 9.2705 90.00 90.00 90.00
With the nearest neighbours (Å) after each atom.
Fractional coordinates of all 4 atoms:
Sr 0.0000 0.0000 0.0000  4 Sr 2.72
Li 0.0000 0.0000 0.5000  4 Li 2.72, 8 Os 2.81
Os 0.5000 0.5000 0.2783  4 Os 2.72, 4 Li 2.81
Os 0.5000 0.5000 0.7217  4 Os 2.72, 4 Li 2.81

Output
**Spin magnetization**: 0.668 μB per formula unit
**Symmetry**: P4/mmm (123)

version b ends up most stable, edging out the next structure by 47.0 kJ/mol of atoms.

Version a
# SrLiOs2

Crystalline SrLiOs2 at its relaxed geometry (PBE-GGA, Alexandria via LeMat-Bulk).

Lattice parameters (Å, degrees): 5.5553 5.5553 2.8600 90.00 90.00 125.07
With the nearest neighbours (Å) after each atom.
Fractional coordinates of all 4 atoms:
Sr 0.0000 0.0000 0.0000  2 Li 2.56, 2 Sr 2.86
Li 0.5000 0.5000 0.0000  2 Sr 2.56, 2 Li 2.86
Os 0.0000 0.5000 0.5000  4 Os 2.56-2.86
Os 0.5000 0.0000 0.5000  4 Os 2.56-2.86

Output
**Spin magnetization**: 0.000 μB per formula unit
**Symmetry**: Cmmm (65)

Version b
# SrLiOs2

Crystalline SrLiOs2 at its relaxed geometry (PBE-GGA, Alexandria via LeMat-Bulk).

Lattice parameters (Å, degrees): 5.4726 5.4726 4.6836 106.86 106.86 30.63
With the nearest neighbours (Å) after each atom.
Fractional coordinates of all 4 atoms:
Sr 0.0000 0.0000 0.0000  4 Li 2.75, 2 Sr 2.89
Li 0.5000 0.5000 0.5000  4 Os 2.74, 4 Sr 2.75, 2 Li 2.89
Os 0.2295 0.2295 0.7163  6 Os 2.63-2.94, 2 Li 2.74
Os 0.7705 0.7705 0.2837  6 Os 2.63-2.94, 2 Li 2.74

Output
**Spin magnetization**: 0.000 μB per formula unit
**Symmetry**: C2/m (12)

version b ends up most stable, edging out the next structure by 17.4 kJ/mol of atoms.

Version a
# SrLiOs3

Crystalline SrLiOs3 at its relaxed geometry (PBE-GGA, Alexandria via LeMat-Bulk).

Lattice parameters (Å, degrees): 4.9729 4.9729 4.9729 90.00 90.00 90.00
With the nearest neighbours (Å) after each atom.
Fractional coordinates of all 5 atoms:
Sr 0.0000 0.0000 0.0000  6 Os 2.49
Li 0.5000 0.5000 0.5000  12 Os 3.52
Os 0.0000 0.0000 0.5000  2 Sr 2.49
Os 0.0000 0.5000 0.0000  2 Sr 2.49
Os 0.5000 0.0000 0.0000  2 Sr 2.49

Output
**Spin magnetization**: 4.854 μB per formula unit
**Symmetry**: Pm-3m (221)

Version b
# SrLiOs3

Crystalline SrLiOs3 at its relaxed geometry (PBE-GGA, Alexandria via LeMat-Bulk).

Lattice parameters (Å, degrees): 4.3927 4.3927 4.3927 90.00 90.00 90.00
With the nearest neighbours (Å) after each atom.
Fractional coordinates of all 5 atoms:
Sr 0.0000 0.0000 0.0000  12 Os 3.11
Li 0.5000 0.5000 0.5000  6 Os 2.20
Os 0.0000 0.5000 0.5000  2 Li 2.20
Os 0.5000 0.0000 0.5000  2 Li 2.20
Os 0.5000 0.5000 0.0000  2 Li 2.20

Output
**Spin magnetization**: 1.618 μB per formula unit
**Symmetry**: Pm-3m (221)

version b ends up most stable, edging out the next structure by 179.6 kJ/mol of atoms.

Version a
# Li2Ta2Os

Crystalline Li2Ta2Os at its relaxed geometry (PBE-GGA, Alexandria via LeMat-Bulk).

Lattice parameters (Å, degrees): 6.9675 6.9675 3.1601 90.00 90.00 90.00
With the nearest neighbours (Å) after each atom.
Fractional coordinates of all 10 atoms:
Li 0.1538 0.3462 0.0000  6 Ta 2.50-2.64
Li 0.3462 0.8462 0.0000  6 Ta 2.50-2.64
Li 0.6538 0.1538 0.0000  6 Ta 2.50-2.64
Li 0.8462 0.6538 0.0000  6 Ta 2.50-2.64
Ta 0.1496 0.6496 0.5000  6 Li 2.50-2.64, 2 Os 2.65
Ta 0.3504 0.1496 0.5000  6 Li 2.50-2.64, 2 Os 2.65
Ta 0.6496 0.8504 0.5000  6 Li 2.50-2.64, 2 Os 2.65
Ta 0.8504 0.3504 0.5000  6 Li 2.50-2.64, 2 Os 2.65
Os 0.0000 0.0000 0.5000  4 Ta 2.65
Os 0.5000 0.5000 0.5000  4 Ta 2.65

Output
**Spin magnetization**: 0.000 μB per formula unit
**Symmetry**: P4/mbm (127)

Version b
# Li2Ta2Os

Crystalline Li2Ta2Os at its relaxed geometry (PBE-GGA, Alexandria via LeMat-Bulk).

Lattice parameters (Å, degrees): 9.0191 9.0191 9.0191 160.74 160.74 27.36
With the nearest neighbours (Å) after each atom.
Fractional coordinates of all 5 atoms:
Li 0.2500 0.7500 0.5000  4 Li 2.13
Li 0.7500 0.2500 0.5000  4 Li 2.13
Ta 0.0990 0.0990 0.0000  4 Os 2.75, 4 Ta 3.02, 4 Li 3.05
Ta 0.9010 0.9010 0.0000  4 Os 2.75, 4 Ta 3.02, 4 Li 3.05
Os 0.5000 0.5000 0.0000  8 Ta 2.75, 4 Os 3.02

Output
**Spin magnetization**: 0.000 μB per formula unit
**Symmetry**: I4/mmm (139)

version b ends up most stable, edging out the next structure by 33.8 kJ/mol of atoms.

Version a
# LiTa3Os

Crystalline LiTa3Os at its relaxed geometry (PBE-GGA, Alexandria via LeMat-Bulk).

Lattice parameters (Å, degrees): 4.8852 4.8852 4.8852 90.00 90.00 90.00
With the nearest neighbours (Å) after each atom.
Fractional coordinates of all 5 atoms:
Li 0.0000 0.0000 0.0000  12 Ta 3.45
Ta 0.0000 0.5000 0.5000  2 Os 2.44
Ta 0.5000 0.0000 0.5000  2 Os 2.44
Ta 0.5000 0.5000 0.0000  2 Os 2.44
Os 0.5000 0.5000 0.5000  6 Ta 2.44

Output
**Spin magnetization**: 0.000 μB per formula unit
**Symmetry**: Pm-3m (221)

Version b
# LiTa3Os

Crystalline LiTa3Os at its relaxed geometry (PBE-GGA, Alexandria via LeMat-Bulk).

Lattice parameters (Å, degrees): 4.3343 4.3343 4.3343 90.00 90.00 90.00
With the nearest neighbours (Å) after each atom.
Fractional coordinates of all 5 atoms:
Li 0.0000 0.0000 0.0000  6 Ta 2.17
Ta 0.0000 0.0000 0.5000  2 Li 2.17
Ta 0.0000 0.5000 0.0000  2 Li 2.17
Ta 0.5000 0.0000 0.0000  2 Li 2.17
Os 0.5000 0.5000 0.5000  12 Ta 3.06

Output
**Spin magnetization**: 0.000 μB per formula unit
**Symmetry**: Pm-3m (221)

version a ends up most stable, edging out the next structure by 4.0 kJ/mol of atoms.